PmGa6Au12 | PBE-GGA | optimized geometry

## Properties
Relative energy among the computed polymorphs ... 33 meV/atom
V ... 371.5 Å³ per cell
Crystal system ... trigonal
Total DFT energy (no corrections) ... -66.22 eV/cell
Energy of formation ... -3.98 eV/f.u.

Cell and atoms, written as POSCAR:
```
PmGa6Au12
1.0
6.0311 3.4821 2.9482
-6.0311 3.4821 2.9482
0.0000 -6.9641 2.9482
Pm Ga Au
1 6 12
Cartesian
0.0000 0.0000 0.0000
0.0000 -2.8974 3.7000
-2.5092 1.4487 3.7000
-2.5092 -1.4487 5.1445
2.5092 1.4487 3.7000
2.5092 -1.4487 5.1445
0.0000 2.8974 5.1445
-2.2991 -3.9821 4.4222
-4.5981 0.0000 4.4222
-1.4708 -0.8492 2.6091
1.4708 -0.8492 2.6091
0.0000 1.6983 2.6091
2.2991 -3.9821 4.4222
-2.2991 3.9821 4.4222
0.0000 -1.6983 6.2354
-1.4708 0.8492 6.2354
1.4708 0.8492 6.2354
4.5981 0.0000 4.4222
2.2991 3.9821 4.4222
```

=====

Sc2InRu | PBE-GGA | optimized geometry

## Properties
V ... 159.2 Å³ per cell
Crystal system ... monoclinic
Total DFT energy (no corrections) ... -52.21 eV/cell
Energy of formation ... -1.43 eV/f.u.

Cell and atoms, written as POSCAR:
```
Sc2InRu
1.0
11.0891 0.0000 0.0000
0.0000 3.3428 0.0000
-2.0152 0.0000 4.2936
Sc In Ru
4 2 2
Cartesian
0.0000 0.0000 0.0000
0.9295 0.0000 3.0636
5.5445 1.6714 0.0000
6.4741 1.6714 3.0636
3.9454 0.0000 1.8660
9.4900 1.6714 1.8660
1.9015 1.6714 0.9103
7.4460 0.0000 0.9103
```

=====

AcPPt6 | PBE-GGA | optimized geometry

## Properties
V ... 162.2 Å³ per cell
Crystal system ... trigonal
Total DFT energy (no corrections) ... -50.15 eV/cell
Energy of formation ... -4.38 eV/f.u.

Cell and atoms, written as POSCAR:
```
AcPPt6
1.0
2.8596 1.6510 5.7257
-2.8596 1.6510 5.7257
0.0000 -3.3020 5.7257
Ac P Pt
1 1 6
Cartesian
0.0000 0.0000 0.0000
0.0000 0.0000 8.5886
-1.4953 -0.8633 7.1151
0.0000 -1.7266 10.0620
-1.4953 0.8633 10.0620
1.4953 -0.8633 7.1151
0.0000 1.7266 7.1151
1.4953 0.8633 10.0620
```

=====

Y2ReNi | PBE-GGA | optimized geometry

## Properties
V ... 161.2 Å³ per cell
Crystal system ... tetragonal
Total DFT energy (no corrections) ... -60.02 eV/cell
Energy of formation ... 1.15 eV/f.u.

Cell and atoms, written as POSCAR:
```
Y2ReNi
1.0
4.0930 0.0000 0.0000
0.0000 4.0930 0.0000
0.0000 0.0000 9.6227
Y Re Ni
4 2 2
Cartesian
0.0000 0.0000 0.0000
0.0000 2.0465 2.4057
2.0465 0.0000 7.2171
2.0465 2.0465 4.8114
0.0000 0.0000 4.8114
2.0465 2.0465 0.0000
0.0000 2.0465 7.2171
2.0465 0.0000 2.4057
```

=====

Cd2FeI | PBE-GGA | optimized geometry

## Properties
Relative energy among the computed polymorphs ... 0 meV/atom
V ... 448.4 Å³ per cell
Crystal system ... tetragonal
Total DFT energy (no corrections) ... -39.94 eV/cell

Cell and atoms, written as POSCAR:
```
Cd2FeI
1.0
9.2690 0.0000 0.0000
0.0000 9.2690 0.0000
0.0000 0.0000 5.2192
Cd Fe I
8 4 4
Cartesian
1.4912 6.9518 0.6524
2.3173 1.4912 4.5668
2.3173 3.1434 1.9572
3.1434 6.9518 3.2620
6.1257 2.3173 3.2620
6.9518 6.1257 1.9572
6.9518 7.7779 4.5668
7.7779 2.3173 0.6524
0.0000 0.0000 0.0000
0.0000 4.6345 1.3048
4.6345 0.0000 3.9144
4.6345 4.6345 2.6096
0.0000 0.0000 2.6096
0.0000 4.6345 3.9144
4.6345 0.0000 1.3048
4.6345 4.6345 0.0000
```

=====

Y3Fe5S12 | PBE-GGA | optimized geometry

## Properties
V ... 1561.3 Å³ per cell
Crystal system ... cubic
Total DFT energy (no corrections) ... -515.98 eV/cell

Cell and atoms, written as POSCAR:
```
Y3Fe5S12
1.0
-7.3081 7.3081 7.3081
7.3081 -7.3081 7.3081
7.3081 7.3081 -7.3081
Y Fe S
12 20 48
Cartesian
3.6540 1.8270 0.0000
7.3081 3.6540 -1.8270
1.8270 0.0000 3.6540
9.1351 0.0000 3.6540
0.0000 3.6540 1.8270
3.6540 -1.8270 7.3081
3.6540 9.1351 0.0000
7.3081 3.6540 5.4811
-1.8270 7.3081 3.6540
5.4811 7.3081 3.6540
0.0000 3.6540 9.1351
3.6540 5.4811 7.3081
0.0000 0.0000 0.0000
3.6540 3.6540 -3.6540
3.6540 -3.6540 3.6540
7.3081 0.0000 0.0000
10.9621 1.8270 0.0000
7.3081 -3.6540 5.4811
5.4811 7.3081 -3.6540
5.4811 0.0000 3.6540
3.6540 5.4811 0.0000
7.3081 3.6540 1.8270
-3.6540 3.6540 3.6540
0.0000 7.3081 0.0000
0.0000 0.0000 7.3081
3.6540 3.6540 3.6540
0.0000 3.6540 5.4811
3.6540 1.8270 7.3081
1.8270 7.3081 3.6540
1.8270 0.0000 10.9621
0.0000 10.9621 1.8270
-3.6540 5.4811 7.3081
2.1240 -0.4206 0.7998
8.8382 4.4539 -4.0746
9.4321 0.4206 0.7998
8.8382 -2.8542 4.0746
6.8875 -0.7998 2.1240
11.3827 -1.5301 2.8542
0.7998 2.1240 -0.4206
10.1623 3.2335 -1.5301
4.4539 4.0746 -1.5301
6.5083 2.1240 0.4206
-0.4206 0.7998 2.1240
4.0746 -1.5301 4.4539
6.8875 6.5083 -2.1240
4.0746 1.5301 2.8542
4.4539 -4.0746 8.8382
6.5083 -2.1240 6.8875
2.8542 4.0746 1.5301
8.1079 5.1841 0.4206
4.0746 8.8382 -2.8542
6.8875 0.7998 5.1841
2.1240 6.8875 -0.7998
8.8382 2.8542 3.2335
1.5301 2.8542 4.0746
2.1240 0.4206 6.5083
5.1841 6.8875 0.7998
5.7780 4.4539 3.2335
-1.5301 4.4539 4.0746
5.1841 0.4206 8.1079
0.4206 6.5083 2.1240
3.2335 -1.5301 10.1623
-0.7998 2.1240 6.8875
4.4539 3.2335 5.7780
0.7998 9.4321 0.4206
2.8542 11.3827 -1.5301
3.2335 5.7780 4.4539
0.4206 0.7998 9.4321
3.2335 8.8382 2.8542
7.7287 6.5083 5.1841
0.7998 5.1841 6.8875
2.8542 3.2335 8.8382
-2.8542 4.0746 8.8382
6.5083 5.1841 7.7287
-4.0746 8.8382 4.4539
0.4206 8.1079 5.1841
-1.5301 10.1623 3.2335
-2.1240 6.8875 6.5083
-1.5301 2.8542 11.3827
5.1841 7.7287 6.5083
```

=====

Cs2NpSnO6 | PBE-GGA | optimized geometry

## Properties
V ... 159.1 Å³ per cell
Crystal system ... cubic
Total DFT energy (no corrections) ... -68.78 eV/cell

Cell and atoms, written as POSCAR:
```
Cs2NpSnO6
1.0
0.0000 4.3009 4.3009
4.3009 0.0000 4.3009
4.3009 4.3009 0.0000
Cs Np Sn O
2 1 1 6
Cartesian
2.1504 2.1504 2.1504
6.4513 6.4513 6.4513
0.0000 0.0000 0.0000
4.3009 4.3009 4.3009
4.3009 4.3009 2.1169
4.3009 2.1169 4.3009
6.4848 4.3009 4.3009
2.1169 4.3009 4.3009
4.3009 6.4848 4.3009
4.3009 4.3009 6.4848
```

=====

Dy8Ho2Sc | PBE-GGA | optimized geometry

## Properties
Relative energy among the computed polymorphs ... 0 meV/atom
V ... 343.1 Å³ per cell
Crystal system ... monoclinic
Total DFT energy (no corrections) ... -51.16 eV/cell
Energy of formation ... 1.14 eV/f.u.

Cell and atoms, written as POSCAR:
```
Dy8Ho2Sc
1.0
8.6043 -2.6989 0.0000
8.6043 2.6989 0.0000
-3.8512 0.0000 7.3872
Dy Ho Sc
8 2 1
Cartesian
-0.5760 0.0000 1.6326
0.0202 0.0000 5.1003
3.4607 0.0000 4.5110
6.3603 0.0000 0.4889
6.9972 0.0000 6.8982
9.8968 0.0000 2.8762
13.3372 0.0000 2.2869
13.9335 0.0000 5.7546
2.9041 0.0000 1.1646
10.4534 0.0000 6.2225
6.6787 0.0000 3.6936
```

=====

Na7Tl4Pb | PBE-GGA | optimized geometry

## Properties
Relative energy among the computed polymorphs ... 69 meV/atom
V ... 372.2 Å³ per cell
Crystal system ... monoclinic
Total DFT energy (no corrections) ... -22.85 eV/cell
Energy of formation ... -0.45 eV/f.u.

Cell and atoms, written as POSCAR:
```
Na7Tl4Pb
1.0
7.5996 -2.9479 0.0000
7.5996 2.9479 0.0000
-4.1830 0.0000 8.3065
Na Tl Pb
7 4 1
Cartesian
0.0000 0.0000 0.0000
0.9732 0.0000 6.2101
4.2876 0.0000 1.1676
3.9493 0.0000 4.8272
7.0669 0.0000 3.4793
6.7286 0.0000 7.1390
10.0430 0.0000 2.0964
-2.1255 0.0000 5.7906
1.1011 0.0000 3.0060
9.9151 0.0000 5.3006
13.1417 0.0000 2.5159
7.5996 0.0000 0.0000
```

=====

Al2SiTe | PBE-GGA | optimized geometry

## Properties
Relative energy among the computed polymorphs ... 512 meV/atom
V ... 80.5 Å³ per cell
Crystal system ... orthorhombic
Total DFT energy (no corrections) ... -14.57 eV/cell

Cell and atoms, written as POSCAR:
```
Al2SiTe
1.0
3.5033 0.0000 0.0000
0.0000 4.4960 0.0000
0.0000 0.0000 5.1110
Al Si Te
2 1 1
Cartesian
0.0000 0.0000 0.0000
1.7517 0.0000 2.5555
0.0000 2.2480 2.5555
1.7517 2.2480 0.0000
```